The following is a DFT calculation (GGA-PBE) of a relaxed Sm6Tl2Pt crystal.

Properties
The total DFT energy (no corrections) is -4.80 eV per atom. For the density, the calculation gives 9.395 g/cm³. The formation energy is -459.5 meV per atom. The calculation puts the density of states at the Fermi level at 12.21 states/eV/f.u.

abc: 3.906 8.872 8.870
angles: 120.01 90.00 90.00
Atoms (fractional coordinates):
Sm: 0.500 0.602 0.000
Sm: 0.500 0.398 0.398
Sm: 0.500 0.000 0.602
Sm: 0.000 0.245 0.000
Sm: 0.000 0.755 0.755
Sm: 0.000 0.000 0.245
Tl: 0.000 0.333 0.667
Tl: 0.000 0.667 0.333
Pt: 0.500 0.000 0.000